Entry 1:
This record from Alexandria describes a relaxed structure of CaTaBi2. The functional is PBE.

Unit cell a=6.7747 b=6.7747 c=6.7747 alpha=105.28 beta=105.28 gamma=118.22
Element x y z (fractional)
1 Ca 0.0000 0.0000 0.0000
2 Ca 0.7500 0.2500 0.5000
3 Ta 0.2500 0.7500 0.5000
4 Ta 0.5000 0.5000 0.0000
5 Bi 0.1579 0.6250 0.0329
6 Bi 0.3750 0.4079 0.5329
7 Bi 0.5921 0.1250 0.9671
8 Bi 0.8750 0.8421 0.4671

Computed properties:
Energy of formation from the pure elements in kJ/mol of formula units: 103.1
Energy above the lowest structure with this stoichiometry in eV per atom: 0.1233

Entry 2:
This record from Alexandria describes a relaxed structure of CaTa3Bi. The functional is PBE.

Unit cell a=5.2344 b=5.2344 c=5.2344 alpha=90.00 beta=90.00 gamma=90.00
Element x y z (fractional)
1 Ca 0.0000 0.0000 0.0000
2 Ta 0.0000 0.5000 0.5000
3 Ta 0.5000 0.0000 0.5000
4 Ta 0.5000 0.5000 0.0000
5 Bi 0.5000 0.5000 0.5000

Computed properties:
Energy of formation from the pure elements in kJ/mol of formula units: 915.1
Energy above the lowest structure with this stoichiometry in eV per atom: 0.0000

Entry 3:
This record from Alexandria describes a relaxed structure of Ca3TaBi. The functional is PBE.

Unit cell a=5.9069 b=5.9069 c=5.9069 alpha=90.00 beta=90.00 gamma=90.00
Element x y z (fractional)
1 Ca 0.0000 0.0000 0.5000
2 Ca 0.0000 0.5000 0.0000
3 Ca 0.5000 0.0000 0.0000
4 Ta 0.5000 0.5000 0.5000
5 Bi 0.0000 0.0000 0.0000

Computed properties:
Energy of formation from the pure elements in kJ/mol of formula units: 392.6
Energy above the lowest structure with this stoichiometry in eV per atom: 0.0000

Entry 4:
This record from Alexandria describes a relaxed structure of CaTa3Bi. The functional is PBE.

Unit cell a=4.8837 b=4.8837 c=4.8837 alpha=90.00 beta=90.00 gamma=90.00
Element x y z (fractional)
1 Ca 0.0000 0.0000 0.0000
2 Ta 0.0000 0.0000 0.5000
3 Ta 0.0000 0.5000 0.0000
4 Ta 0.5000 0.0000 0.0000
5 Bi 0.5000 0.5000 0.5000

Computed properties:
Energy of formation from the pure elements in kJ/mol of formula units: 1153.5
Energy above the lowest structure with this stoichiometry in eV per atom: 0.4942

Entry 5:
This record from Alexandria describes a relaxed structure of CaZrTa2Bi. The functional is PBE.

Unit cell a=4.8488 b=4.8488 c=5.3846 alpha=90.00 beta=90.00 gamma=90.00
Element x y z (fractional)
1 Ca 0.0000 0.0000 0.0000
2 Zr 0.5000 0.5000 0.5000
3 Ta 0.0000 0.5000 0.0000
4 Ta 0.5000 0.0000 0.0000
5 Bi 0.0000 0.0000 0.5000

Computed properties:
Energy of formation from the pure elements in kJ/mol of formula units: 955.9
Energy above the lowest structure with this stoichiometry in eV per atom: 0.3592

Entry 6:
This record from Alexandria describes a relaxed structure of CaZrTa2Bi. The functional is PBE.

Unit cell a=5.2222 b=5.2222 c=5.4308 alpha=90.00 beta=90.00 gamma=90.00
Element x y z (fractional)
1 Ca 0.0000 0.0000 0.0000
2 Zr 0.5000 0.5000 0.0000
3 Ta 0.0000 0.5000 0.5000
4 Ta 0.5000 0.0000 0.5000
5 Bi 0.0000 0.0000 0.5000

Computed properties:
Energy of formation from the pure elements in kJ/mol of formula units: 782.6
Energy above the lowest structure with this stoichiometry in eV per atom: 0.0000

Entry 7:
This record from Alexandria describes a relaxed structure of CaTb5Bi4. The functional is PBE.

Unit cell a=10.2192 b=10.2192 c=7.9183 alpha=101.59 beta=101.59 gamma=25.10
Element x y z (fractional)
1 Ca 0.0000 0.0000 0.0000
2 Tb 0.0000 0.0000 0.5000
3 Tb 0.3072 0.3072 0.3855
4 Tb 0.3143 0.3143 0.9150
5 Tb 0.6857 0.6857 0.0850
6 Tb 0.6928 0.6928 0.6145
7 Bi 0.1400 0.1400 0.3329
8 Bi 0.4385 0.4385 0.2238
9 Bi 0.5615 0.5615 0.7762
10 Bi 0.8600 0.8600 0.6671

Computed properties:
Energy of formation from the pure elements in kJ/mol of formula units: -555.7

Entry 8:
This record from Alexandria describes a relaxed structure of CaTb2Bi. The functional is PBE.

Unit cell a=12.5694 b=12.5694 c=12.5694 alpha=16.44 beta=16.44 gamma=16.44
Element x y z (fractional)
1 Ca 0.0000 0.0000 0.0000
2 Tb 0.4156 0.4156 0.4156
3 Tb 0.5844 0.5844 0.5844
4 Bi 0.5000 0.5000 0.5000

Computed properties:
Energy of formation from the pure elements in kJ/mol of formula units: 32.0
Energy above the lowest structure with this stoichiometry in eV per atom: 0.3868